No. 1
Compound: SrCr2Co
Source: the Alexandria database
Functional: PBE
Structure: optimized geometry

* energy relative to the lowest polymorph listed for this composition: 143 meV/atom
* space-group type: No. 12
* DOS(E_F): 4.861 states/eV per cell

Cell lengths 4.150, 4.150, 6.056 Å; angles 107.34, 107.34, 53.59 degrees
Sites, in units of the cell vectors:
Sr 0.000 0.000 0.000
Cr 0.196 0.196 0.577
Cr 0.804 0.804 0.423
Co 0.500 0.500 0.500

No. 2
Compound: SrCrCo
Source: the Alexandria database
Functional: PBE
Structure: optimized geometry

* energy relative to the lowest polymorph listed for this composition: 83 meV/atom
* space-group type: No. 44
* DOS(E_F): 4.010 states/eV per cell

Cell lengths 6.101, 6.101, 6.101 Å; angles 149.55, 148.33, 44.50 degrees
Sites, in units of the cell vectors:
Sr 0.000 0.000 0.000
Cr 0.274 0.274 0.000
Co 0.714 0.714 0.000

No. 3
Compound: SrCrCo
Source: the Alexandria database
Functional: PBE
Structure: optimized geometry

* energy relative to the lowest polymorph listed for this composition: 0 meV/atom
* space-group type: No. 187
* DOS(E_F): 3.173 states/eV per cell

Cell lengths 3.882, 3.882, 5.094 Å; angles 90.00, 90.00, 120.00 degrees
Sites, in units of the cell vectors:
Sr 0.000 0.000 0.000
Cr 0.333 0.667 0.500
Co 0.667 0.333 0.500

No. 4
Compound: SrCrCo
Source: the Alexandria database
Functional: PBE
Structure: optimized geometry

* energy relative to the lowest polymorph listed for this composition: 415 meV/atom
* space-group type: No. 216
* DOS(E_F): 6.488 states/eV per cell

Cell lengths 4.655, 4.655, 4.655 Å; angles 60.00, 60.00, 60.00 degrees
Sites, in units of the cell vectors:
Sr 0.000 0.000 0.000
Cr 0.500 0.500 0.500
Co 0.750 0.750 0.750

No. 5
Compound: SrCr2Co
Source: the Alexandria database
Functional: PBE
Structure: optimized geometry

* energy relative to the lowest polymorph listed for this composition: 839 meV/atom
* space-group type: No. 139
* DOS(E_F): 6.976 states/eV per cell

Cell lengths 5.464, 5.464, 5.464 Å; angles 140.78, 140.78, 56.68 degrees
Sites, in units of the cell vectors:
Sr 0.000 0.000 0.000
Cr 0.250 0.750 0.500
Cr 0.750 0.250 0.500
Co 0.500 0.500 0.000

No. 6
Compound: SrCr4Co
Source: the Alexandria database
Functional: PBE
Structure: optimized geometry

* space-group type: No. 216
* raw total energy: -6.964 eV/atom
* DOS(E_F): 7.826 states/eV per cell

Cell lengths 5.014, 5.014, 5.014 Å; angles 60.00, 60.00, 60.00 degrees
Sites, in units of the cell vectors:
Sr 0.000 0.000 0.000
Cr 0.376 0.376 0.376
Cr 0.376 0.376 0.872
Cr 0.376 0.872 0.376
Cr 0.872 0.376 0.376
Co 0.750 0.750 0.750

No. 7
Compound: SrCr2Co
Source: the Alexandria database
Functional: PBE
Structure: optimized geometry

* energy relative to the lowest polymorph listed for this composition: 0 meV/atom
* space-group type: No. 160
* DOS(E_F): 5.701 states/eV per cell

Cell lengths 6.135, 6.135, 6.135 Å; angles 39.32, 39.32, 39.32 degrees
Sites, in units of the cell vectors:
Sr 0.000 0.000 0.000
Cr 0.514 0.514 0.514
Cr 0.804 0.804 0.804
Co 0.193 0.193 0.193

No. 8
Compound: SrCr2Co
Source: the Alexandria database
Functional: PBE
Structure: optimized geometry

* energy relative to the lowest polymorph listed for this composition: 749 meV/atom
* space-group type: No. 65
* DOS(E_F): 4.855 states/eV per cell

Cell lengths 4.873, 4.873, 3.191 Å; angles 90.00, 90.00, 106.58 degrees
Sites, in units of the cell vectors:
Sr 0.000 0.000 0.000
Cr 0.000 0.500 0.500
Cr 0.500 0.000 0.500
Co 0.500 0.500 0.000

No. 9
Compound: SrCr2Co
Source: the Alexandria database
Functional: PBE
Structure: optimized geometry

* energy relative to the lowest polymorph listed for this composition: 635 meV/atom
* space-group type: No. 123
* DOS(E_F): 7.131 states/eV per cell

Cell lengths 4.285, 4.285, 4.337 Å; angles 90.00, 90.00, 90.00 degrees
Sites, in units of the cell vectors:
Sr 0.000 0.000 0.000
Cr 0.000 0.500 0.500
Cr 0.500 0.000 0.500
Co 0.500 0.500 0.000

No. 10
Compound: SrCr2Co
Source: the Alexandria database
Functional: PBE
Structure: optimized geometry

* energy relative to the lowest polymorph listed for this composition: 231 meV/atom
* space-group type: No. 123
* DOS(E_F): 5.169 states/eV per cell

Cell lengths 3.272, 3.272, 6.915 Å; angles 90.00, 90.00, 90.00 degrees
Sites, in units of the cell vectors:
Sr 0.000 0.000 0.000
Cr 0.500 0.500 0.362
Cr 0.500 0.500 0.638
Co 0.000 0.000 0.500

No. 11
Compound: SrCr2Co
Source: the Alexandria database
Functional: PBE
Structure: optimized geometry

* energy relative to the lowest polymorph listed for this composition: 537 meV/atom
* space-group type: No. 141
* DOS(E_F): 10.697 states/eV per cell

Cell lengths 8.420, 8.420, 8.420 Å; angles 146.06, 146.06, 48.76 degrees
Sites, in units of the cell vectors:
Sr 0.375 0.625 0.750
Sr 0.625 0.375 0.250
Cr 0.000 0.000 0.000
Cr 0.000 0.000 0.500
Cr 0.000 0.500 0.000
Cr 0.500 0.000 0.500
Co 0.125 0.875 0.250
Co 0.875 0.125 0.750

No. 12
Compound: SrCr2Co
Source: the Alexandria database
Functional: PBE
Structure: optimized geometry

* energy relative to the lowest polymorph listed for this composition: 301 meV/atom
* space-group type: No. 10
* DOS(E_F): 5.068 states/eV per cell

Cell lengths 3.003, 4.220, 6.192 Å; angles 90.00, 103.96, 90.00 degrees
Sites, in units of the cell vectors:
Sr 0.000 0.000 0.000
Cr 0.282 0.500 0.626
Cr 0.718 0.500 0.374
Co 0.500 0.000 0.500

Question: Which formula does entry 7 have?
Answer: SrCr2Co

Repeat the eleventh record exactly.
Compound: SrCr2Co
Source: the Alexandria database
Functional: PBE
Structure: optimized geometry

* energy relative to the lowest polymorph listed for this composition: 537 meV/atom
* space-group type: No. 141
* DOS(E_F): 10.697 states/eV per cell

Cell lengths 8.420, 8.420, 8.420 Å; angles 146.06, 146.06, 48.76 degrees
Sites, in units of the cell vectors:
Sr 0.375 0.625 0.750
Sr 0.625 0.375 0.250
Cr 0.000 0.000 0.000
Cr 0.000 0.000 0.500
Cr 0.000 0.500 0.000
Cr 0.500 0.000 0.500
Co 0.125 0.875 0.250
Co 0.875 0.125 0.750

What did the fourth record say?
Compound: SrCrCo
Source: the Alexandria database
Functional: PBE
Structure: optimized geometry

* energy relative to the lowest polymorph listed for this composition: 415 meV/atom
* space-group type: No. 216
* DOS(E_F): 6.488 states/eV per cell

Cell lengths 4.655, 4.655, 4.655 Å; angles 60.00, 60.00, 60.00 degrees
Sites, in units of the cell vectors:
Sr 0.000 0.000 0.000
Cr 0.500 0.500 0.500
Co 0.750 0.750 0.750

Question: The lowest DOS(E_F) belongs to which entry?
Answer: number 3